Entry 1:
Compound: Na3Ac2Sn4
Source: Alexandria
Functional: GGA-PBE
Structure: optimized geometry

CIF file:
```
data_Na3Ac2Sn4
_symmetry_space_group_name_H-M 'P 1'
_symmetry_Int_Tables_number 1
_cell_length_a 10.2678
_cell_length_b 10.2678
_cell_length_c 8.6149
_cell_angle_alpha 90.00
_cell_angle_beta 90.00
_cell_angle_gamma 141.93
loop_
_symmetry_equiv_pos_as_xyz
'x,y,z'
loop_
_atom_site_label
_atom_site_type_symbol
_atom_site_fract_x
_atom_site_fract_y
_atom_site_fract_z
Na1 Na 0.0000 0.0000 0.0000
Na2 Na 0.0153 0.4847 0.2500
Na3 Na 0.4847 0.0153 0.7500
Na4 Na 0.5000 0.5000 0.5000
Na5 Na 0.5153 0.9847 0.2500
Na6 Na 0.9847 0.5153 0.7500
Ac1 Ac 0.0938 0.9062 0.4020
Ac2 Ac 0.4062 0.5938 0.9020
Ac3 Ac 0.5938 0.4062 0.0980
Ac4 Ac 0.9062 0.0938 0.5980
Sn1 Sn 0.1575 0.8425 0.0209
Sn2 Sn 0.1834 0.3166 0.2500
Sn3 Sn 0.3166 0.1834 0.7500
Sn4 Sn 0.3425 0.6575 0.5209
Sn5 Sn 0.6575 0.3425 0.4791
Sn6 Sn 0.6834 0.8166 0.2500
Sn7 Sn 0.8166 0.6834 0.7500
Sn8 Sn 0.8425 0.1575 0.9791
```



Entry 2:
Compound: Na12AcSn4
Source: Alexandria
Functional: GGA-PBE
Structure: optimized geometry

CIF file:
```
data_Na12AcSn4
_symmetry_space_group_name_H-M 'P 1'
_symmetry_Int_Tables_number 1
_cell_length_a 9.4635
_cell_length_b 9.4635
_cell_length_c 9.4635
_cell_angle_alpha 109.47
_cell_angle_beta 109.47
_cell_angle_gamma 109.47
loop_
_symmetry_equiv_pos_as_xyz
'x,y,z'
loop_
_atom_site_label
_atom_site_type_symbol
_atom_site_fract_x
_atom_site_fract_y
_atom_site_fract_z
Na1 Na 0.1643 0.3366 0.8276
Na2 Na 0.1724 0.5090 0.3366
Na3 Na 0.1724 0.8357 0.6634
Na4 Na 0.3366 0.1724 0.5090
Na5 Na 0.3366 0.8276 0.1643
Na6 Na 0.4910 0.6634 0.8276
Na7 Na 0.5090 0.3366 0.1724
Na8 Na 0.6634 0.1724 0.8357
Na9 Na 0.6634 0.8276 0.4910
Na10 Na 0.8276 0.1643 0.3366
Na11 Na 0.8276 0.4910 0.6634
Na12 Na 0.8357 0.6634 0.1724
Ac1 Ac 0.0000 0.0000 0.0000
Sn1 Sn 0.0000 0.0000 0.5000
Sn2 Sn 0.0000 0.5000 0.0000
Sn3 Sn 0.5000 0.0000 0.0000
Sn4 Sn 0.5000 0.5000 0.5000
```



Entry 3:
Compound: NaAcSn2
Source: Alexandria
Functional: GGA-PBE
Structure: optimized geometry

CIF file:
```
data_NaAcSn2
_symmetry_space_group_name_H-M 'P 1'
_symmetry_Int_Tables_number 1
_cell_length_a 9.4671
_cell_length_b 4.4929
_cell_length_c 11.9546
_cell_angle_alpha 90.00
_cell_angle_beta 90.00
_cell_angle_gamma 90.00
loop_
_symmetry_equiv_pos_as_xyz
'x,y,z'
loop_
_atom_site_label
_atom_site_type_symbol
_atom_site_fract_x
_atom_site_fract_y
_atom_site_fract_z
Na1 Na 0.0238 0.2500 0.0955
Na2 Na 0.4762 0.7500 0.5955
Na3 Na 0.5238 0.2500 0.4045
Na4 Na 0.9762 0.7500 0.9045
Ac1 Ac 0.1251 0.7500 0.3566
Ac2 Ac 0.3749 0.2500 0.8566
Ac3 Ac 0.6251 0.7500 0.1434
Ac4 Ac 0.8749 0.2500 0.6434
Sn1 Sn 0.1533 0.7500 0.6956
Sn2 Sn 0.2443 0.2500 0.5555
Sn3 Sn 0.2557 0.7500 0.0555
Sn4 Sn 0.3467 0.2500 0.1956
Sn5 Sn 0.6533 0.7500 0.8044
Sn6 Sn 0.7443 0.2500 0.9445
Sn7 Sn 0.7557 0.7500 0.4445
Sn8 Sn 0.8467 0.2500 0.3044
```



Entry 4:
Compound: NaAcSn2
Source: Alexandria
Functional: GGA-PBE
Structure: optimized geometry

CIF file:
```
data_NaAcSn2
_symmetry_space_group_name_H-M 'P 1'
_symmetry_Int_Tables_number 1
_cell_length_a 4.9984
_cell_length_b 4.9984
_cell_length_c 4.8561
_cell_angle_alpha 90.00
_cell_angle_beta 90.00
_cell_angle_gamma 90.00
loop_
_symmetry_equiv_pos_as_xyz
'x,y,z'
loop_
_atom_site_label
_atom_site_type_symbol
_atom_site_fract_x
_atom_site_fract_y
_atom_site_fract_z
Na1 Na 0.0000 0.0000 0.0000
Ac1 Ac 0.5000 0.5000 0.0000
Sn1 Sn 0.0000 0.5000 0.5000
Sn2 Sn 0.5000 0.0000 0.5000
```



Entry 5:
Compound: Na3Ac12Sn5
Source: Alexandria
Functional: GGA-PBE
Structure: optimized geometry

CIF file:
```
data_Na3Ac12Sn5
_symmetry_space_group_name_H-M 'P 1'
_symmetry_Int_Tables_number 1
_cell_length_a 17.3252
_cell_length_b 17.3252
_cell_length_c 17.3252
_cell_angle_alpha 109.47
_cell_angle_beta 109.47
_cell_angle_gamma 109.47
loop_
_symmetry_equiv_pos_as_xyz
'x,y,z'
loop_
_atom_site_label
_atom_site_type_symbol
_atom_site_fract_x
_atom_site_fract_y
_atom_site_fract_z
Na1 Na 0.1250 0.2500 0.3750
Na2 Na 0.1250 0.3750 0.7500
Na3 Na 0.2500 0.3750 0.1250
Na4 Na 0.2500 0.8750 0.6250
Na5 Na 0.3750 0.1250 0.2500
Na6 Na 0.3750 0.7500 0.1250
Na7 Na 0.6250 0.2500 0.8750
Na8 Na 0.6250 0.8750 0.7500
Na9 Na 0.7500 0.1250 0.3750
Na10 Na 0.7500 0.6250 0.8750
Na11 Na 0.8750 0.6250 0.2500
Na12 Na 0.8750 0.7500 0.6250
Ac1 Ac 0.0430 0.2145 0.1192
Ac2 Ac 0.0430 0.3285 0.9239
Ac3 Ac 0.0761 0.6192 0.4047
Ac4 Ac 0.0761 0.9570 0.6715
Ac5 Ac 0.0953 0.7145 0.6715
Ac6 Ac 0.0953 0.8808 0.4239
Ac7 Ac 0.1192 0.0430 0.2145
Ac8 Ac 0.1192 0.5761 0.9047
Ac9 Ac 0.1715 0.2145 0.5953
Ac10 Ac 0.1715 0.4570 0.5761
Ac11 Ac 0.2145 0.1192 0.0430
Ac12 Ac 0.2145 0.5953 0.1715
Ac13 Ac 0.2855 0.3285 0.9047
Ac14 Ac 0.2855 0.4570 0.3808
Ac15 Ac 0.3285 0.9047 0.2855
Ac16 Ac 0.3285 0.9239 0.0430
Ac17 Ac 0.3808 0.2855 0.4570
Ac18 Ac 0.3808 0.5953 0.9239
Ac19 Ac 0.4047 0.0761 0.6192
Ac20 Ac 0.4047 0.8285 0.7855
Ac21 Ac 0.4239 0.0953 0.8808
Ac22 Ac 0.4239 0.8285 0.5430
Ac23 Ac 0.4570 0.3808 0.2855
Ac24 Ac 0.4570 0.5761 0.1715
Ac25 Ac 0.5430 0.4239 0.8285
Ac26 Ac 0.5430 0.6192 0.7145
Ac27 Ac 0.5761 0.1715 0.4570
Ac28 Ac 0.5761 0.9047 0.1192
Ac29 Ac 0.5953 0.1715 0.2145
Ac30 Ac 0.5953 0.9239 0.3808
Ac31 Ac 0.6192 0.4047 0.0761
Ac32 Ac 0.6192 0.7145 0.5430
Ac33 Ac 0.6715 0.0761 0.9570
Ac34 Ac 0.6715 0.0953 0.7145
Ac35 Ac 0.7145 0.5430 0.6192
Ac36 Ac 0.7145 0.6715 0.0953
Ac37 Ac 0.7855 0.4047 0.8285
Ac38 Ac 0.7855 0.8808 0.9570
Ac39 Ac 0.8285 0.5430 0.4239
Ac40 Ac 0.8285 0.7855 0.4047
Ac41 Ac 0.8808 0.4239 0.0953
Ac42 Ac 0.8808 0.9570 0.7855
Ac43 Ac 0.9047 0.1192 0.5761
Ac44 Ac 0.9047 0.2855 0.3285
Ac45 Ac 0.9239 0.0430 0.3285
Ac46 Ac 0.9239 0.3808 0.5953
Ac47 Ac 0.9570 0.6715 0.0761
Ac48 Ac 0.9570 0.7855 0.8808
Sn1 Sn 0.0000 0.0000 0.0000
Sn2 Sn 0.0000 0.0000 0.5000
Sn3 Sn 0.0000 0.5000 0.0000
Sn4 Sn 0.0000 0.5000 0.5000
Sn5 Sn 0.1250 0.7500 0.8750
Sn6 Sn 0.1250 0.8750 0.2500
Sn7 Sn 0.2500 0.1250 0.8750
Sn8 Sn 0.2500 0.6250 0.3750
Sn9 Sn 0.3750 0.2500 0.6250
Sn10 Sn 0.3750 0.6250 0.7500
Sn11 Sn 0.5000 0.0000 0.0000
Sn12 Sn 0.5000 0.0000 0.5000
Sn13 Sn 0.5000 0.5000 0.0000
Sn14 Sn 0.5000 0.5000 0.5000
Sn15 Sn 0.6250 0.3750 0.2500
Sn16 Sn 0.6250 0.7500 0.3750
Sn17 Sn 0.7500 0.3750 0.6250
Sn18 Sn 0.7500 0.8750 0.1250
Sn19 Sn 0.8750 0.1250 0.7500
Sn20 Sn 0.8750 0.2500 0.1250
```



Entry 6:
Compound: NaAcSn2
Source: Alexandria
Functional: GGA-PBE
Structure: optimized geometry

CIF file:
```
data_NaAcSn2
_symmetry_space_group_name_H-M 'P 1'
_symmetry_Int_Tables_number 1
_cell_length_a 3.9532
_cell_length_b 3.9532
_cell_length_c 7.6985
_cell_angle_alpha 90.00
_cell_angle_beta 90.00
_cell_angle_gamma 90.00
loop_
_symmetry_equiv_pos_as_xyz
'x,y,z'
loop_
_atom_site_label
_atom_site_type_symbol
_atom_site_fract_x
_atom_site_fract_y
_atom_site_fract_z
Na1 Na 0.0000 0.0000 0.0000
Ac1 Ac 0.0000 0.0000 0.5000
Sn1 Sn 0.5000 0.5000 0.2148
Sn2 Sn 0.5000 0.5000 0.7852
```



Number 1: formation energy -0.3221 eV/atom, energy -0.127 hartree per atom. Number 2: formation energy 0.1148 eV/atom, energy -0.073 hartree per atom. Number 3: formation energy -0.4898 eV/atom, energy -0.141 hartree per atom. Number 4: formation energy -0.4521 eV/atom, energy -0.140 hartree per atom. Number 5: formation energy 0.1686 eV/atom, energy -0.128 hartree per atom. Number 6: formation energy -0.3518 eV/atom, energy -0.136 hartree per atom.